TaMn2HF, optimized geometry, DFT PBE with a Hubbard U; calculated volume = 14.99 Å³/atom; total energy = -29.442 eV for the cell shown; crystal system = tetragonal
1.0
4.1293 0.0000 0.0000
0.0000 4.1293 0.0000
0.0000 0.0000 4.3959
Ta Mn H F
1 2 1 1
direct
0.0000 0.0000 0.0000
0.0000 0.5000 0.5000
0.5000 0.0000 0.5000
0.5000 0.5000 0.0000
0.5000 0.5000 0.5000